[1]
Pm2PrY | the Alexandria database | GGA-PBE | optimized geometry; ΔE to the lowest computed polymorph = 0.03 eV/f.u.; total moment = 0.00 μB/cell; crystal system = tetragonal; space group = P4/mmm; ΔE_f = 0.02 eV per atom
1.0
3.647 0.000 0.000
0.000 3.647 0.000
0.000 0.000 10.330
Pm Pr Y
2 1 1
Direct
0.000 0.000 0.246
0.000 0.000 0.754
0.500 0.500 0.500
0.500 0.500 0.000

=====

[2]
PmPrY | the Alexandria database | GGA-PBE | optimized geometry; ΔE to the lowest computed polymorph = 0.64 eV/f.u.; total moment = 0.00 μB/cell; crystal system = tetragonal; space group = P4/nmm; ΔE_f = 0.23 eV per atom
1.0
4.927 0.000 0.000
0.000 4.927 0.000
0.000 0.000 8.830
Pm Pr Y
2 2 2
Direct
0.250 0.250 0.201
0.750 0.750 0.799
0.250 0.750 0.500
0.750 0.250 0.500
0.250 0.250 0.808
0.750 0.750 0.192

=====

[3]
Pm3Pr5Y | the Alexandria database | GGA-PBE | optimized geometry; total moment = 0.00 μB/cell; crystal system = monoclinic; space group = C2/m; ΔE_f = 0.54 eV per atom
1.0
5.812 -5.780 0.000
5.812 5.780 0.000
-5.133 0.000 10.720
Pm Pr Y
6 10 2
Direct
0.000 0.000 0.000
0.000 0.000 0.500
0.210 0.210 0.351
0.380 0.380 0.845
0.620 0.620 0.155
0.790 0.790 0.649
0.030 0.562 0.351
0.255 0.745 0.000
0.305 0.305 0.095
0.438 0.970 0.649
0.472 0.472 0.620
0.528 0.528 0.380
0.562 0.030 0.351
0.695 0.695 0.905
0.745 0.255 0.000
0.970 0.438 0.649
0.090 0.090 0.794
0.910 0.910 0.206

=====

[4]
Pm4Pr8Y | the Alexandria database | GGA-PBE | optimized geometry; total moment = 0.03 μB/cell; crystal system = trigonal; space group = R-3m; ΔE_f = 0.39 eV per atom
1.0
5.970 3.447 3.960
-5.970 3.447 3.960
0.000 -6.893 3.960
Pm Pr Y
4 8 1
Direct
0.000 0.000 0.000
0.000 0.500 0.500
0.500 0.000 0.500
0.500 0.500 0.000
0.168 0.168 0.669
0.168 0.669 0.168
0.241 0.241 0.241
0.331 0.832 0.832
0.669 0.168 0.168
0.759 0.759 0.759
0.832 0.331 0.832
0.832 0.832 0.331
0.500 0.500 0.500